Compound: Sm5InSn4
Source: Alexandria
Functional: PBE
Structure: optimized geometry

```
data_Sm5InSn4
_chemical_formula_sum 'Sm10 In2 Sn8'
_space_group_name_H-M_alt 'C 1 2/m 1'
_space_group_IT_number 12
_cell_length_a 17.642
_cell_length_b 4.452
_cell_length_c 7.953
_cell_angle_alpha 90.00
_cell_angle_beta 100.07
_cell_angle_gamma 90.00
loop_
_space_group_symop_operation_xyz
'x,y,z'
'-x,-y,-z'
'-x,y,-z'
'x,-y,z'
'x+1/2,y+1/2,z'
'-x+1/2,-y+1/2,-z'
'-x+1/2,y+1/2,-z'
'x+1/2,-y+1/2,z'
loop_
_atom_site_label
_atom_site_fract_x
_atom_site_fract_y
_atom_site_fract_z
Sm1 0.000 0.000 0.000
Sm2 0.124 0.500 0.683
Sm3 0.213 0.500 0.153
In1 0.000 0.000 0.500
Sn1 0.055 0.500 0.279
Sn2 0.186 0.000 0.430
```

Computed properties:
formation enthalpy at 0 K	-36.1	kJ/mol of atoms